Material: ScSiMo3
Method: DFT, PBE
State: optimized geometry

Geometry as POSCAR:
```
ScSiMo3
1.0
-1.9394 -4.1226 0.0624
3.8009 -1.7610 1.7927
-1.5979 0.8151 4.1885
Sc Mo Si
1 3 1
Direct
0.5000 0.5000 0.5000 Sc
0.0000 0.5000 0.0000 Mo
0.0000 0.0000 0.5000 Mo
0.5000 0.0000 0.0000 Mo
0.0000 0.0000 0.0000 Si
```

total energy	-41.01	eV for the cell shown
uncorrected formation energy	0.648	eV/atom
magnetic moment	0.00	μB per cell
DOS(E_F)	1.28	states/eV per atom